(1)
The following is a DFT calculation (GGA-PBE) of Rb3Y2HoS6 after structural relaxation.

Cell: 7.0618 7.0618 8.0436 Å, 98.41 98.41 120.00°
Fractional positions:
1 Rb 0.0000 0.0000 0.0000
2 Rb 0.3331 0.6669 0.0000
3 Rb 0.6669 0.3331 0.0000
4 Y 0.1666 0.8334 0.5000
5 Y 0.8334 0.1666 0.5000
6 Ho 0.5000 0.5000 0.5000
7 S 0.1042 0.4361 0.3082
8 S 0.2321 0.2321 0.6919
9 S 0.4361 0.1042 0.3082
10 S 0.5639 0.8958 0.6918
11 S 0.7679 0.7679 0.3081
12 S 0.8958 0.5639 0.6918

Results
The value obtained for the formation energy without anion corrections is -1.858 eV/atom. Its magnetic moment is 0.0 μB/cell. The volume is 27.68 Å³/atom.

=====

(2)
The following is a DFT calculation (GGA-PBE) of Rb2Bi5Pd4 after structural relaxation.

Cell: 7.4533 7.4533 8.4711 Å, 120.81 120.81 68.54°
Fractional positions:
1 Rb 0.0820 0.0820 0.3525
2 Rb 0.9180 0.9180 0.6475
3 Bi 0.1210 0.5310 0.8817
4 Bi 0.4690 0.8790 0.1183
5 Bi 0.5000 0.5000 0.5000
6 Bi 0.5310 0.1210 0.8817
7 Bi 0.8790 0.4690 0.1183
8 Pd 0.2644 0.2644 0.0863
9 Pd 0.4638 0.4638 0.7915
10 Pd 0.5362 0.5362 0.2085
11 Pd 0.7356 0.7356 0.9137

Results
Its magnetic moment is 0.0 μB/cell. For the energy of formation, the calculation gives -202 meV per atom. The volume is 31.24 Å³/atom.

=====

(3)
The following is a DFT calculation (GGA-PBE) of Pr2SbPb after structural relaxation.

Cell: 8.3459 8.3459 8.3459 Å, 30.91 30.91 30.91°
Fractional positions:
1 Pr 0.2458 0.2458 0.2458
2 Pr 0.7542 0.7542 0.7542
3 Sb 0.5000 0.5000 0.5000
4 Pb 0.0000 0.0000 0.0000

Results
The value obtained for the formation energy without anion corrections is -0.817 eV/atom. Its magnetic moment is 0.0 μB/cell. Its distance to the lowest polymorph of the same formula is 70 meV per atom. The volume is 34.01 Å³/atom.

=====

(4)
The following is a DFT calculation (GGA-PBE) of Na3MgF after structural relaxation.

Cell: 5.9504 5.9504 5.9504 Å, 90.00 90.00 90.00°
Fractional positions:
1 Na 0.0000 0.0000 0.5000
2 Na 0.0000 0.5000 0.0000
3 Na 0.5000 0.0000 0.0000
4 Mg 0.0000 0.0000 0.0000
5 F 0.5000 0.5000 0.5000

Results
The value obtained for the formation energy without anion corrections is -0.078 eV/atom. Its magnetic moment is 0.0 μB/cell. Its distance to the lowest polymorph of the same formula is 821 meV per atom. The volume is 42.14 Å³/atom.

=====

(5)
The following is a DFT calculation (GGA-PBE) of Ba2Na3Sr5 after structural relaxation.

Cell: 11.8249 11.8249 7.8649 Å, 91.81 91.81 107.84°
Fractional positions:
1 Ba 0.1220 0.6342 0.8889
2 Ba 0.3658 0.8780 0.6111
3 Ba 0.6342 0.1220 0.3889
4 Ba 0.8780 0.3658 0.1111
5 Na 0.0327 0.7380 0.3730
6 Na 0.2620 0.9673 0.1270
7 Na 0.4687 0.5313 0.7500
8 Na 0.5313 0.4687 0.2500
9 Na 0.7380 0.0327 0.8730
10 Na 0.9673 0.2620 0.6270
11 Sr 0.0421 0.9579 0.7500
12 Sr 0.2126 0.3082 0.9739
13 Sr 0.2141 0.5192 0.4048
14 Sr 0.3082 0.2126 0.4739
15 Sr 0.4808 0.7859 0.0952
16 Sr 0.5192 0.2141 0.9048
17 Sr 0.6918 0.7874 0.5261
18 Sr 0.7859 0.4808 0.5952
19 Sr 0.7874 0.6918 0.0261
20 Sr 0.9579 0.0421 0.2500

Results
Its magnetic moment is 0.0 μB/cell. For the energy of formation, the calculation gives 39 meV per atom. The volume is 52.27 Å³/atom.

=====

(6)
The following is a DFT calculation (GGA-PBE) of PmPuHgIr after structural relaxation.

Cell: 5.1188 5.1188 5.1188 Å, 60.00 60.00 60.00°
Fractional positions:
1 Pm 0.0000 0.0000 0.0000
2 Pu 0.5000 0.5000 0.5000
3 Hg 0.2500 0.2500 0.2500
4 Ir 0.7500 0.7500 0.7500

Results
Its magnetic moment is 5.5 μB/cell. For the energy of formation, the calculation gives -326 meV per atom. The volume is 23.71 Å³/atom.